DFT (GGA-PBE) results for a relaxed structure of LaYN2O.

Summary:
Uncorrected formation energy, eV/atom: -0.5666
DFT total energy, eV per cell: -35.83
Mass density, Mg/m³: 5.40
N(E_F), states/eV per atom: 0.08

Unit cell a=4.2958 b=4.2958 c=4.5320 alpha=90.00 beta=90.00 gamma=90.00
Closest atoms and distances in Å follow each position.
Space group P4/mmm (No. 123)
One atom of each set of equivalent atoms:
La 0.0000 0.0000 0.0000  4 N 2.15, 2 O 2.27
Y 0.5000 0.5000 0.5000  4 O 3.04, 8 N 3.12
N 0.0000 0.5000 0.0000  2 La 2.15
O 0.0000 0.0000 0.5000  2 La 2.27

***

DFT (GGA-PBE) results for a relaxed structure of LaYNO2.

Summary:
Uncorrected formation energy, eV/atom: -1.9808
DFT total energy, eV per cell: -39.54
Mass density, Mg/m³: 5.58
N(E_F), states/eV per atom: 0.46

Unit cell a=4.3310 b=4.3310 c=4.3455 alpha=90.00 beta=90.00 gamma=90.00
Closest atoms and distances in Å follow each position.
Space group P4/mmm (No. 123)
One atom of each set of equivalent atoms:
La 0.0000 0.0000 0.0000  4 N 3.06, 8 O 3.07
Y 0.5000 0.5000 0.5000  4 O 2.17, 2 N 2.17
N 0.5000 0.5000 0.0000  2 Y 2.17
O 0.0000 0.5000 0.5000  2 Y 2.17

***

DFT (GGA-PBE) results for a relaxed structure of LaYN2O.

Summary:
Uncorrected formation energy, eV/atom: -1.0242
DFT total energy, eV per cell: -38.12
Mass density, Mg/m³: 5.52
N(E_F), states/eV per atom: 0.56

Unit cell a=4.3263 b=4.3263 c=4.3660 alpha=90.00 beta=90.00 gamma=90.00
Closest atoms and distances in Å follow each position.
Space group P4/mmm (No. 123)
One atom of each set of equivalent atoms:
La 0.0000 0.0000 0.0000  4 O 3.06, 8 N 3.07
Y 0.5000 0.5000 0.5000  4 N 2.16, 2 O 2.18
N 0.0000 0.5000 0.5000  2 Y 2.16
O 0.5000 0.5000 0.0000  2 Y 2.18

***

DFT (GGA-PBE) results for a relaxed structure of LaYNO2.

Summary:
Uncorrected formation energy, eV/atom: -1.3828
DFT total energy, eV per cell: -36.55
Mass density, Mg/m³: 5.12
N(E_F), states/eV per atom: 0.25

Unit cell a=4.5299 b=4.5299 c=4.3263 alpha=90.00 beta=90.00 gamma=90.00
Closest atoms and distances in Å follow each position.
Space group P4/mmm (No. 123)
One atom of each set of equivalent atoms:
La 0.0000 0.0000 0.0000  2 N 2.16, 4 O 2.26
Y 0.5000 0.5000 0.5000  8 O 3.13, 4 N 3.20
N 0.0000 0.0000 0.5000  2 La 2.16
O 0.0000 0.5000 0.0000  2 La 2.26

***

DFT (GGA-PBE) results for a relaxed structure of LaZnNO2.

Summary:
Uncorrected formation energy, eV/atom: -0.1704
DFT total energy, eV per cell: -25.29
Mass density, Mg/m³: 4.74
N(E_F), states/eV per atom: 0.83

Unit cell a=4.3968 b=4.3968 c=4.5407 alpha=90.00 beta=90.00 gamma=90.00
Closest atoms and distances in Å follow each position.
Space group P4/mmm (No. 123)
One atom of each set of equivalent atoms:
La 0.0000 0.0000 0.0000  4 O 2.20, 2 N 2.27
Zn 0.5000 0.5000 0.5000  4 N 3.11, 8 O 3.16
N 0.0000 0.0000 0.5000  2 La 2.27
O 0.0000 0.5000 0.0000  2 La 2.20

***

DFT (GGA-PBE) results for a relaxed structure of La2ZnNO.

Summary:
Uncorrected formation energy, eV/atom: -0.8260
DFT total energy, eV per cell: -28.54
Mass density, Mg/m³: 6.46
N(E_F), states/eV per atom: 0.65

Unit cell a=5.0547 b=5.0547 c=3.7563 alpha=90.00 beta=90.00 gamma=90.00
Closest atoms and distances in Å follow each position.
Space group P4/mmm (No. 123)
One atom of each set of equivalent atoms:
La 0.0000 0.5000 0.0000  2 N 2.53
Zn 0.0000 0.0000 0.5000  2 N 1.88
N 0.0000 0.0000 0.0000  2 Zn 1.88
O 0.5000 0.5000 0.5000  8 La 3.15

***

DFT (GGA-PBE) results for a relaxed structure of LaZnN2O.

Summary:
Uncorrected formation energy, eV/atom: -0.3774
DFT total energy, eV per cell: -29.70
Mass density, Mg/m³: 6.62
N(E_F), states/eV per atom: 0.75

Unit cell a=3.8847 b=3.8847 c=4.1282 alpha=90.00 beta=90.00 gamma=90.00
Closest atoms and distances in Å follow each position.
Space group P4/mmm (No. 123)
One atom of each set of equivalent atoms:
La 0.0000 0.0000 0.0000  4 O 2.75, 8 N 2.83
Zn 0.5000 0.5000 0.5000  4 N 1.94, 2 O 2.06
N 0.0000 0.5000 0.5000  2 Zn 1.94
O 0.5000 0.5000 0.0000  2 Zn 2.06

***

DFT (GGA-PBE) results for a relaxed structure of LaZnNO2.

Summary:
Uncorrected formation energy, eV/atom: -1.2069
DFT total energy, eV per cell: -30.48
Mass density, Mg/m³: 6.69
N(E_F), states/eV per atom: 0.34

Unit cell a=4.0045 b=4.0045 c=3.8769 alpha=90.00 beta=90.00 gamma=90.00
Closest atoms and distances in Å follow each position.
Space group P4/mmm (No. 123)
One atom of each set of equivalent atoms:
La 0.0000 0.0000 0.0000  8 O 2.79, 4 N 2.83
Zn 0.5000 0.5000 0.5000  2 N 1.94, 4 O 2.00
N 0.5000 0.5000 0.0000  2 Zn 1.94
O 0.0000 0.5000 0.5000  2 Zn 2.00

***

DFT (GGA-PBE) results for a relaxed structure of LaZnN2O.

Summary:
Uncorrected formation energy, eV/atom: 0.6963
DFT total energy, eV per cell: -24.33
Mass density, Mg/m³: 4.85
N(E_F), states/eV per atom: 0.70

Unit cell a=4.4041 b=4.4041 c=4.3818 alpha=90.00 beta=90.00 gamma=90.00
Closest atoms and distances in Å follow each position.
Space group P4/mmm (No. 123)
One atom of each set of equivalent atoms:
La 0.0000 0.0000 0.0000  2 O 2.19, 4 N 2.20
Zn 0.5000 0.5000 0.5000  8 N 3.11, 4 O 3.11
N 0.0000 0.5000 0.0000  2 La 2.20
O 0.0000 0.0000 0.5000  2 La 2.19

***

DFT (GGA-PBE) results for a relaxed structure of LaOsN3.

Summary:
Uncorrected formation energy, eV/atom: -0.2299
DFT total energy, eV per cell: -338.26
Mass density, Mg/m³: 8.68
N(E_F), states/eV per atom: 0.51

Unit cell a=10.7337 b=10.3826 c=5.1067 alpha=90.00 beta=93.82 gamma=90.00
Closest atoms and distances in Å follow each position.
Space group C2/c (No. 15)
One atom of each set of equivalent atoms:
La 0.2206 0.1106 0.3209  5 N 2.34-2.59
Os 0.0000 0.2252 0.7500  4 N 1.82-1.95
Os 0.0000 0.4403 0.2500  6 N 2.06-2.07
N 0.0867 0.2903 0.4546  2 Os 1.95-2.06
N 0.1090 0.4184 0.9369  2 Os 2.06-2.07
N 0.1313 0.1201 0.8456  1 Os 1.82

***

DFT (GGA-PBE) results for a relaxed structure of LaOsN3.

Summary:
Uncorrected formation energy, eV/atom: -0.2766
DFT total energy, eV per cell: -170.07
Mass density, Mg/m³: 9.04
N(E_F), states/eV per atom: 0.44

Unit cell a=6.0320 b=5.4114 c=8.4371 alpha=90.00 beta=97.98 gamma=90.00
Closest atoms and distances in Å follow each position.
Space group P2_1/c (No. 14)
One atom of each set of equivalent atoms:
La 0.1414 0.2368 0.1680  6 N 2.49-2.74
Os 0.4075 0.7255 0.0227  4 N 1.86-2.04
N 0.1291 0.6930 0.0974  1 Os 1.88
N 0.3159 0.0710 0.9399  2 Os 1.99-2.04
N 0.4257 0.5602 0.8319  1 Os 1.86

***

DFT (GGA-PBE) results for a relaxed structure of LaOsN3.

Summary:
Uncorrected formation energy, eV/atom: 0.0686
DFT total energy, eV per cell: -163.16
Mass density, Mg/m³: 9.53
N(E_F), states/eV per atom: 0.70

Unit cell a=3.7097 b=13.5953 c=5.1316 alpha=90.00 beta=90.00 gamma=90.00
Closest atoms and distances in Å follow each position.
Space group Cmcm (No. 63)
One atom of each set of equivalent atoms:
La 0.0000 0.1518 0.2500  8 N 2.43-2.68
Os 0.0000 0.4481 0.2500  2 N 2.03
N 0.0000 0.0000 0.0000  4 Os 2.36, 2 La 2.43, 2 N 2.57
N 0.1749 0.1719 0.7500  1 N 1.30

***

Q: mass density of number 12 (LaOsN3)?
A: 9.53 Mg/m³